First-principles (PBE) data for crystalline BeFePt2 at its relaxed geometry, as listed in Alexandria.

## Properties
As for the total energy: -6.3959 eV/atom. Its crystal system is tetragonal. For the density of states at the Fermi level, the calculation gives 0.673 states/eV/atom. The value obtained for the total moment is 3.69 Bohr magnetons per cell.

CIF file:
```
data_BeFePt2
_cell_length_a 3.951
_cell_length_b 3.951
_cell_length_c 3.395
_cell_angle_alpha 90.00
_cell_angle_beta 90.00
_cell_angle_gamma 90.00
_symmetry_space_group_name_H-M 'P 4/m m m'
_symmetry_Int_Tables_number 123
_symmetry_space_group_name_Hall '-P 4 2'
loop_
_atom_site_label
_atom_site_type_symbol
_atom_site_fract_x
_atom_site_fract_y
_atom_site_fract_z
Be1 Be 0.000 0.000 0.000
Fe1 Fe 0.500 0.500 0.000
Pt1 Pt 0.000 0.500 0.500
```